No. 1
Entry from Alexandria: a geometry-optimized Pm5ThGa6 structure (GGA-PBE).

Structure (CIF):
```
data_Pm5ThGa6
_chemical_formula_sum 'Pm10 Th2 Ga12'
_cell_length_a 5.202
_cell_length_b 7.315
_cell_length_c 15.625
_cell_angle_alpha 90.00
_cell_angle_beta 90.00
_cell_angle_gamma 90.00
_space_group_name_H-M_alt 'I m m m'
_space_group_IT_number 71
_space_group_name_Hall '-I 2 2'
loop_
_atom_site_label
_atom_site_type_symbol
_atom_site_fract_x
_atom_site_fract_y
_atom_site_fract_z
_atom_site_occupancy
Pm1 Pm 0.000 0.000 0.000 1
Pm2 Pm 0.000 0.000 0.336 1
Pm3 Pm 0.000 0.500 0.331 1
Th1 Th 0.000 0.500 0.000 1
Ga1 Ga 0.000 0.246 0.168 1
Ga2 Ga 0.000 0.257 0.500 1
```

=====

No. 2
Entry from Alexandria: a geometry-optimized Pm3ThGa4 structure (GGA-PBE).

Structure (CIF):
```
data_Pm3ThGa4
_chemical_formula_sum 'Pm9 Th3 Ga12'
_cell_length_a 5.2059
_cell_length_b 5.2059
_cell_length_c 25.4501
_cell_angle_alpha 90.00
_cell_angle_beta 90.00
_cell_angle_gamma 120.00
_space_group_name_H-M_alt 'R -3 m'
_space_group_IT_number 166
_space_group_name_Hall '-R 3 2"'
loop_
_atom_site_label
_atom_site_type_symbol
_atom_site_fract_x
_atom_site_fract_y
_atom_site_fract_z
_atom_site_occupancy
Pm1 Pm 0.0000 0.0000 0.0000 1
Pm2 Pm 0.0000 0.0000 0.2505 1
Th1 Th 0.0000 0.0000 0.5000 1
Ga1 Ga 0.0000 0.0000 0.1241 1
Ga2 Ga 0.0000 0.0000 0.3743 1
```

=====

No. 3
# GGA-PBE Pm2ThGa6, optimized geometry
# Polymorph energy (0 for the lowest one), eV per atom: 0.263
data_Pm2ThGa6
_chemical_formula_sum 'Pm4 Th2 Ga12'
_cell_length_a 4.327
_cell_length_b 7.232
_cell_length_c 13.664
_cell_angle_alpha 90.00
_cell_angle_beta 90.00
_cell_angle_gamma 90.00
_space_group_name_H-M_alt 'I m m m'
_space_group_IT_number 71
_space_group_name_Hall '-I 2 2'
loop_
_atom_site_label
_atom_site_type_symbol
_atom_site_fract_x
_atom_site_fract_y
_atom_site_fract_z
_atom_site_occupancy
Pm1 Pm 0.000 0.000 0.136 1
Th1 Th 0.000 0.500 0.000 1
Ga1 Ga 0.000 0.183 0.331 1
Ga2 Ga 0.000 0.321 0.500 1

=====

No. 4
Entry from Alexandria: a geometry-optimized Pm3ThGa8 structure (GGA-PBE).

Structure (CIF):
```
data_Pm3ThGa8
_chemical_formula_sum 'Pm9 Th3 Ga24'
_cell_length_a 5.6322
_cell_length_b 5.6322
_cell_length_c 27.4738
_cell_angle_alpha 90.00
_cell_angle_beta 90.00
_cell_angle_gamma 120.00
_space_group_name_H-M_alt 'R 3 m'
_space_group_IT_number 160
_space_group_name_Hall 'R 3 -2"'
loop_
_atom_site_label
_atom_site_type_symbol
_atom_site_fract_x
_atom_site_fract_y
_atom_site_fract_z
_atom_site_occupancy
Pm1 Pm 0.0000 0.0000 0.0000 1
Pm2 Pm 0.0000 0.0000 0.1252 1
Pm3 Pm 0.0000 0.0000 0.6257 1
Th1 Th 0.0000 0.0000 0.5005 1
Ga1 Ga 0.0000 0.0000 0.3132 1
Ga2 Ga 0.0000 0.0000 0.8125 1
Ga3 Ga 0.0003 0.5002 0.5629 1
Ga4 Ga 0.0005 0.5003 0.0626 1
```

=====

No. 5
Entry from Alexandria: a geometry-optimized PmTiGa3 structure (GGA-PBE).

Structure (CIF):
```
data_PmTiGa3
_chemical_formula_sum 'Pm4 Ti4 Ga12'
_cell_length_a 3.953
_cell_length_b 24.807
_cell_length_c 4.086
_cell_angle_alpha 90.00
_cell_angle_beta 90.00
_cell_angle_gamma 90.00
_space_group_name_H-M_alt 'C m c m'
_space_group_IT_number 63
_space_group_name_Hall '-C 2c 2'
loop_
_atom_site_label
_atom_site_type_symbol
_atom_site_fract_x
_atom_site_fract_y
_atom_site_fract_z
_atom_site_occupancy
Pm1 Pm 0.000 0.079 0.250 1
Ti1 Ti 0.000 0.206 0.750 1
Ga1 Ga 0.000 0.311 0.750 1
Ga2 Ga 0.000 0.371 0.250 1
Ga3 Ga 0.000 0.473 0.250 1
```

=====

No. 6
Entry from Alexandria: a geometry-optimized PmTiGa4 structure (GGA-PBE).

Structure (CIF):
```
data_PmTiGa4
_chemical_formula_sum 'Pm4 Ti4 Ga16'
_cell_length_a 7.618
_cell_length_b 7.618
_cell_length_c 7.618
_cell_angle_alpha 90.00
_cell_angle_beta 90.00
_cell_angle_gamma 90.00
_space_group_name_H-M_alt 'F -4 3 m'
_space_group_IT_number 216
_space_group_name_Hall 'F -4 2 3'
loop_
_atom_site_label
_atom_site_type_symbol
_atom_site_fract_x
_atom_site_fract_y
_atom_site_fract_z
_atom_site_occupancy
Pm1 Pm 0.000 0.000 0.000 1
Ti1 Ti 0.250 0.250 0.250 1
Ga1 Ga 0.124 0.124 0.624 1
```

=====

No. 7
Entry from Alexandria: a geometry-optimized PmTiZnGa structure (GGA-PBE).

Structure (CIF):
```
data_PmTiZnGa
_chemical_formula_sum 'Pm4 Ti4 Zn4 Ga4'
_cell_length_a 6.839
_cell_length_b 6.839
_cell_length_c 6.839
_cell_angle_alpha 90.00
_cell_angle_beta 90.00
_cell_angle_gamma 90.00
_space_group_name_H-M_alt 'F -4 3 m'
_space_group_IT_number 216
_space_group_name_Hall 'F -4 2 3'
loop_
_atom_site_label
_atom_site_type_symbol
_atom_site_fract_x
_atom_site_fract_y
_atom_site_fract_z
_atom_site_occupancy
Pm1 Pm 0.000 0.000 0.000 1
Ti1 Ti 0.000 0.000 0.500 1
Zn1 Zn 0.250 0.250 0.250 1
Ga1 Ga 0.250 0.250 0.750 1
```

=====

No. 8
Entry from Alexandria: a geometry-optimized Pm4TlGa12 structure (GGA-PBE).

Structure (CIF):
```
data_Pm4TlGa12
_chemical_formula_sum 'Pm8 Tl2 Ga24'
_cell_length_a 8.969
_cell_length_b 8.969
_cell_length_c 8.969
_cell_angle_alpha 90.00
_cell_angle_beta 90.00
_cell_angle_gamma 90.00
_space_group_name_H-M_alt 'I m -3 m'
_space_group_IT_number 229
_space_group_name_Hall '-I 4 2 3'
loop_
_atom_site_label
_atom_site_type_symbol
_atom_site_fract_x
_atom_site_fract_y
_atom_site_fract_z
_atom_site_occupancy
Pm1 Pm 0.250 0.250 0.250 1
Tl1 Tl 0.000 0.000 0.000 1
Ga1 Ga 0.000 0.000 0.323 1
Ga2 Ga 0.000 0.250 0.500 1
```

=====

No. 9
# GGA-PBE Pm5Tl2Ga, optimized geometry
# Polymorph energy (0 for the lowest one), eV per atom: 0.074
data_Pm5Tl2Ga
_chemical_formula_sum 'Pm20 Tl8 Ga4'
_cell_length_a 8.152
_cell_length_b 8.152
_cell_length_c 14.586
_cell_angle_alpha 90.00
_cell_angle_beta 90.00
_cell_angle_gamma 90.00
_space_group_name_H-M_alt 'I 4/m c m'
_space_group_IT_number 140
_space_group_name_Hall '-I 4 2c'
loop_
_atom_site_label
_atom_site_type_symbol
_atom_site_fract_x
_atom_site_fract_y
_atom_site_fract_z
_atom_site_occupancy
Pm1 Pm 0.000 0.000 0.000 1
Pm2 Pm 0.169 0.331 0.155 1
Tl1 Tl 0.130 0.370 0.500 1
Ga1 Ga 0.000 0.000 0.250 1

=====

No. 10
Entry from Alexandria: a geometry-optimized Pm4TlGa2 structure (GGA-PBE).

Structure (CIF):
```
data_Pm4TlGa2
_chemical_formula_sum 'Pm12 Tl3 Ga6'
_cell_length_a 5.2171
_cell_length_b 5.2171
_cell_length_c 25.3878
_cell_angle_alpha 90.00
_cell_angle_beta 90.00
_cell_angle_gamma 120.00
_space_group_name_H-M_alt 'R -3 m'
_space_group_IT_number 166
_space_group_name_Hall '-R 3 2"'
loop_
_atom_site_label
_atom_site_type_symbol
_atom_site_fract_x
_atom_site_fract_y
_atom_site_fract_z
_atom_site_occupancy
Pm1 Pm 0.0000 0.0000 0.1158 1
Pm2 Pm 0.0000 0.0000 0.3689 1
Tl1 Tl 0.0000 0.0000 0.5000 1
Ga1 Ga 0.0000 0.0000 0.2493 1
```

=====

No. 11
# GGA-PBE Pm3Tl2Ga, optimized geometry
# Polymorph energy (0 for the lowest one), eV per atom: 0.071
data_Pm3Tl2Ga
_chemical_formula_sum 'Pm12 Tl8 Ga4'
_cell_length_a 16.054
_cell_length_b 6.492
_cell_length_c 6.653
_cell_angle_alpha 90.00
_cell_angle_beta 104.01
_cell_angle_gamma 90.00
_space_group_name_H-M_alt 'C 1 2/c 1'
_space_group_IT_number 15
loop_
_space_group_symop_operation_xyz
'x,y,z'
'-x,-y,-z'
'-x,y,-z+1/2'
'x,-y,z+1/2'
'x+1/2,y+1/2,z'
'-x+1/2,-y+1/2,-z'
'-x+1/2,y+1/2,-z+1/2'
'x+1/2,-y+1/2,z+1/2'
loop_
_atom_site_label
_atom_site_type_symbol
_atom_site_fract_x
_atom_site_fract_y
_atom_site_fract_z
_atom_site_occupancy
Pm1 Pm 0.000 0.140 0.250 1
Pm2 Pm 0.164 0.390 0.592 1
Tl1 Tl 0.164 0.116 0.048 1
Ga1 Ga 0.000 0.364 0.750 1

=====

No. 12
# GGA-PBE PmTlGa, optimized geometry
# Polymorph energy (0 for the lowest one), eV per atom: 0.061
data_PmTlGa
_chemical_formula_sum 'Pm4 Tl4 Ga4'
_cell_length_a 3.827
_cell_length_b 19.232
_cell_length_c 4.279
_cell_angle_alpha 90.00
_cell_angle_beta 90.00
_cell_angle_gamma 90.00
_space_group_name_H-M_alt 'C m c m'
_space_group_IT_number 63
_space_group_name_Hall '-C 2c 2'
loop_
_atom_site_label
_atom_site_type_symbol
_atom_site_fract_x
_atom_site_fract_y
_atom_site_fract_z
_atom_site_occupancy
Pm1 Pm 0.000 0.097 0.250 1
Tl1 Tl 0.000 0.291 0.250 1
Ga1 Ga 0.000 0.463 0.250 1

=====

Number 1: formation energy from the elements -0.5360 eV per atom, DFT total energy -4.65 eV per atom. Number 2: formation energy from the elements -0.5144 eV per atom, DFT total energy -4.74 eV per atom. Number 3: formation energy from the elements -0.4089 eV per atom, DFT total energy -4.31 eV per atom. Number 4: formation energy from the elements -0.5377 eV per atom, DFT total energy -4.36 eV per atom. Number 5: formation energy from the elements -0.4870 eV per atom, DFT total energy -4.83 eV per atom. Number 6: formation energy from the elements -0.3605 eV per atom, DFT total energy -4.49 eV per atom. Number 7: formation energy from the elements -0.2515 eV per atom, DFT total energy -4.49 eV per atom. Number 8: formation energy from the elements -0.4787 eV per atom, DFT total energy -3.87 eV per atom. Number 9: formation energy from the elements -0.2904 eV per atom, DFT total energy -4.23 eV per atom. Number 10: formation energy from the elements -0.3627 eV per atom, DFT total energy -4.28 eV per atom. Number 11: formation energy from the elements -0.3721 eV per atom, DFT total energy -4.04 eV per atom. Number 12: formation energy from the elements -0.4082 eV per atom, DFT total energy -3.79 eV per atom.